Entry from Alexandria via LeMat-Bulk: Pr6Te2Se3 after structural relaxation (GGA-PBE).

```
11
Lattice="2.1381 1.2344 21.4658 -2.1381 1.2344 21.4658 0.0000 -2.4688 21.4658" Properties=species:S:1:pos:R:3 pbc="T T T"
Pr 0.0000 0.0000 5.1723
Pr 0.0000 0.0000 12.1797
Pr 0.0000 0.0000 23.2317
Pr 0.0000 0.0000 41.1657
Pr 0.0000 0.0000 52.2177
Pr 0.0000 0.0000 59.2251
Te 0.0000 0.0000 28.6879
Te 0.0000 0.0000 35.7095
Se 0.0000 0.0000 0.0000
Se 0.0000 0.0000 17.9913
Se 0.0000 0.0000 46.4061
```

E_form (uncorrected) = -16.4 eV per formula unit
E_tot = -5.6220 eV/atom
crystal system = trigonal